Density functional theory data (PBE+U) for a relaxed structure of CrO2.

a = 5.9039 Å, b = 5.9039 Å, c = 14.0449 Å
α = 90.00°, β = 90.00°, γ = 120.00°
Space group R3m (No. 160, hexagonal axes)
One atom of each set of equivalent atoms:
Cr  0.0000  0.0000  0.0000 x3
Cr  0.1754  0.3509  0.2107 x9
O  0.0000  0.0000  0.1338 x3
O  0.0000  0.0000  0.6201 x3
O  0.0016  0.5008  0.6200 x9
O  0.0296  0.5148  0.1443 x9

Computed properties:
* total energy: -7.22 eV per atom